No. 1
Material: Cd2SiAs4Pd
Method: DFT, PBE
State: optimized geometry

Cell lengths 7.230, 7.230, 7.230 Å; angles 132.49, 132.49, 69.46 degrees
Sites, in units of the cell vectors:
Cd: 0.000 0.000 0.000
Cd: 0.750 0.250 0.500
Si: 0.500 0.500 0.000
As: 0.170 0.630 0.042
As: 0.370 0.413 0.540
As: 0.587 0.128 0.958
As: 0.872 0.830 0.460
Pd: 0.250 0.750 0.500

Summary:
- calculated density (g cm⁻³) = 5.43
- VASP energy (eV per atom) = -3.901
- symmetry = I-4, No. 82

---

No. 2
Material: PuUPa
Method: DFT, PBE
State: optimized geometry

Cell lengths 4.518, 4.518, 4.518 Å; angles 60.00, 60.00, 60.00 degrees
Sites, in units of the cell vectors:
Pu: 0.000 0.000 0.000
U: 0.250 0.250 0.250
Pa: 0.750 0.750 0.750

Summary:
- distance to the lowest polymorph of the same formula (eV/atom) = 0.000
- calculated density (g cm⁻³) = 18.16
- size of the total moment (μB per cell) = 2.415
- VASP energy (eV per atom) = -11.219
- DFT formation energy (kJ per mole of atoms) = 40.6
- symmetry = F-43m, No. 216

---

No. 3
Material: Li2YRe
Method: DFT, PBE
State: optimized geometry

Cell lengths 4.698, 4.698, 4.698 Å; angles 60.00, 60.00, 60.00 degrees
Sites, in units of the cell vectors:
Li: 0.000 0.000 0.000
Li: 0.250 0.250 0.250
Y: 0.750 0.750 0.750
Re: 0.500 0.500 0.500

Summary:
- calculated density (g cm⁻³) = 6.54
- size of the total moment (μB per cell) = 0.690
- VASP energy (eV per atom) = -5.054
- symmetry = F-43m, No. 216

---

No. 4
Material: LaAl4Ga2Pd
Method: DFT, PBE
State: optimized geometry

Cell lengths 4.321, 4.321, 8.209 Å; angles 90.00, 90.00, 90.00 degrees
Sites, in units of the cell vectors:
La: 0.000 0.000 0.000
Al: 0.000 0.500 0.331
Al: 0.000 0.500 0.669
Al: 0.500 0.000 0.331
Al: 0.500 0.000 0.669
Ga: 0.500 0.500 0.149
Ga: 0.500 0.500 0.851
Pd: 0.000 0.000 0.500

Summary:
- calculated density (g cm⁻³) = 5.34
- size of the total moment (μB per cell) = 0.003
- VASP energy (eV per atom) = -4.501
- symmetry = P4/mmm, No. 123

---

No. 5
Material: TmAuSeO
Method: DFT, PBE
State: optimized geometry

Cell lengths 3.898, 3.898, 9.490 Å; angles 90.00, 90.00, 90.00 degrees
Sites, in units of the cell vectors:
Tm: 0.000 0.000 0.000
Tm: 0.500 0.500 0.227
Au: 0.000 0.500 0.614
Au: 0.500 0.000 0.614
Se: 0.000 0.000 0.394
Se: 0.500 0.500 0.835
O: 0.000 0.500 0.114
O: 0.500 0.000 0.114

Summary:
- distance to the lowest polymorph of the same formula (eV/atom) = 0.102
- calculated density (g cm⁻³) = 10.62
- size of the total moment (μB per cell) = 0.001
- VASP energy (eV per atom) = -5.873
- symmetry = P4mm, No. 99

---

No. 6
Material: LiPd3C
Method: DFT, PBE
State: optimized geometry

Cell lengths 5.410, 5.410, 5.401 Å; angles 90.00, 90.00, 120.04 degrees
Sites, in units of the cell vectors:
Li: 0.041 0.959 0.500
Li: 0.959 0.041 0.000
Pd: 0.041 0.464 0.645
Pd: 0.462 0.538 0.287
Pd: 0.464 0.041 0.145
Pd: 0.536 0.959 0.645
Pd: 0.538 0.462 0.787
Pd: 0.959 0.536 0.145
C: 0.339 0.661 0.954
C: 0.661 0.339 0.454

Summary:
- distance to the lowest polymorph of the same formula (eV/atom) = 0.013
- calculated density (g cm⁻³) = 8.21
- VASP energy (eV per atom) = -5.358
- symmetry = Cmc2_1, No. 36

---

No. 7
Material: SmBr3
Method: DFT, PBE
State: optimized geometry

Cell lengths 7.542, 9.455, 6.451 Å; angles 90.00, 90.00, 90.00 degrees
Sites, in units of the cell vectors:
Sm: 0.124 0.250 0.048
Sm: 0.376 0.750 0.548
Sm: 0.624 0.250 0.452
Sm: 0.876 0.750 0.952
Br: 0.035 0.750 0.357
Br: 0.172 0.566 0.842
Br: 0.172 0.934 0.842
Br: 0.328 0.066 0.342
Br: 0.328 0.434 0.342
Br: 0.465 0.250 0.857
Br: 0.535 0.750 0.143
Br: 0.672 0.566 0.658
Br: 0.672 0.934 0.658
Br: 0.828 0.066 0.158
Br: 0.828 0.434 0.158
Br: 0.965 0.250 0.643

Summary:
- calculated density (g cm⁻³) = 5.63
- size of the total moment (μB per cell) = 0.003
- VASP energy (eV per atom) = -4.221
- symmetry = Pnma, No. 62

---

No. 8
Material: ScCoSnIr
Method: DFT, PBE
State: optimized geometry

Cell lengths 4.552, 4.552, 4.552 Å; angles 60.00, 60.00, 60.00 degrees
Sites, in units of the cell vectors:
Sc: 0.000 0.000 0.000
Co: 0.500 0.500 0.500
Sn: 0.250 0.250 0.250
Ir: 0.750 0.750 0.750

Summary:
- distance to the lowest polymorph of the same formula (eV/atom) = 0.414
- calculated density (g cm⁻³) = 10.33
- size of the total moment (μB per cell) = 1.685
- VASP energy (eV per atom) = -6.704
- symmetry = F-43m, No. 216

---

No. 9
Material: PuSnGe
Method: DFT, PBE
State: optimized geometry

Cell lengths 4.942, 4.942, 4.942 Å; angles 60.00, 60.00, 60.00 degrees
Sites, in units of the cell vectors:
Pu: 0.000 0.000 0.000
Sn: 0.250 0.250 0.250
Ge: 0.750 0.750 0.750

Summary:
- calculated density (g cm⁻³) = 8.47
- size of the total moment (μB per cell) = 5.559
- VASP energy (eV per atom) = -7.579
- symmetry = F-43m, No. 216

---

No. 10
Material: NdY2Mg3Ir2Pt
Method: DFT, PBE
State: optimized geometry

Cell lengths 4.063, 7.382, 7.382 Å; angles 119.95, 90.00, 90.00 degrees
Sites, in units of the cell vectors:
Nd: 0.000 0.000 0.000
Y: 0.000 0.415 0.828
Y: 0.000 0.828 0.415
Mg: 0.500 0.169 0.419
Mg: 0.500 0.419 0.169
Mg: 0.500 0.660 0.660
Ir: 0.500 0.084 0.745
Ir: 0.500 0.745 0.084
Pt: 0.000 0.420 0.420

Summary:
- calculated density (g cm⁻³) = 8.43
- size of the total moment (μB per cell) = 0.006
- VASP energy (eV per atom) = -5.875
- symmetry = Amm2, No. 38

---

No. 11
Material: YCuGeSe2S
Method: DFT, PBE
State: optimized geometry

Cell lengths 6.782, 6.782, 10.190 Å; angles 90.00, 90.00, 146.78 degrees
Sites, in units of the cell vectors:
Y: 0.000 0.000 0.000
Y: 0.000 0.000 0.500
Cu: 0.478 0.522 0.750
Cu: 0.522 0.478 0.250
Ge: 0.240 0.760 0.250
Ge: 0.760 0.240 0.750
Se: 0.349 0.651 0.573
Se: 0.349 0.651 0.927
Se: 0.651 0.349 0.073
Se: 0.651 0.349 0.427
S: 0.083 0.917 0.750
S: 0.917 0.083 0.250

Summary:
- calculated density (g cm⁻³) = 5.37
- size of the total moment (μB per cell) = 0.006
- VASP energy (eV per atom) = -5.164
- symmetry = Cmcm, No. 63

---

No. 12
Material: ErTcNO
Method: DFT, PBE
State: optimized geometry

Cell lengths 3.748, 3.748, 7.621 Å; angles 90.00, 90.00, 90.00 degrees
Sites, in units of the cell vectors:
Er: 0.250 0.250 0.147
Er: 0.750 0.750 0.853
Tc: 0.250 0.750 0.500
Tc: 0.750 0.250 0.500
N: 0.250 0.250 0.630
N: 0.750 0.750 0.370
O: 0.250 0.750 0.000
O: 0.750 0.250 0.000

Summary:
- distance to the lowest polymorph of the same formula (eV/atom) = 0.220
- calculated density (g cm⁻³) = 9.16
- size of the total moment (μB per cell) = 0.044
- VASP energy (eV per atom) = -8.558
- symmetry = P4/nmm, No. 129

---

Copy entry 12 word for word.
Material: ErTcNO
Method: DFT, PBE
State: optimized geometry

Cell lengths 3.748, 3.748, 7.621 Å; angles 90.00, 90.00, 90.00 degrees
Sites, in units of the cell vectors:
Er: 0.250 0.250 0.147
Er: 0.750 0.750 0.853
Tc: 0.250 0.750 0.500
Tc: 0.750 0.250 0.500
N: 0.250 0.250 0.630
N: 0.750 0.750 0.370
O: 0.250 0.750 0.000
O: 0.750 0.250 0.000

Summary:
- distance to the lowest polymorph of the same formula (eV/atom) = 0.220
- calculated density (g cm⁻³) = 9.16
- size of the total moment (μB per cell) = 0.044
- VASP energy (eV per atom) = -8.558
- symmetry = P4/nmm, No. 129

---

Number 7 is which compound?
SmBr3